No. 1
Material: ErTiSn2
Method: DFT, PBE
State: optimized geometry

Unit cell a=3.7451 b=3.7451 c=6.5714 alpha=90.00 beta=90.00 gamma=90.00
Sites, in units of the cell vectors:
Ti 0.5000 0.5000 0.0000
Er 0.5000 0.5000 0.5000
Sn 0.0000 0.0000 0.2207
Sn 0.0000 0.0000 0.7793

Properties
**ΔH_f (0 K)**: -321 meV per atom
**Energy relative to the lowest polymorph listed for this composition**: 0.009 eV/atom
**Space-group type**: P4/mmm (123)
**Magnetization**: 0.0 μB/f.u.
**Total energy**: -5.4370 eV per atom

***

No. 2
Material: Sc2Ge
Method: DFT, PBE
State: optimized geometry

Unit cell a=4.1606 b=7.8372 c=7.9599 alpha=90.00 beta=105.15 gamma=90.00
Sites, in units of the cell vectors:
Sc 0.3179 0.4356 0.6357
Sc 0.0289 0.9880 0.0578
Sc 0.9711 0.4880 0.9422
Sc 0.6341 0.3505 0.2682
Sc 0.6821 0.9356 0.3643
Sc 0.1588 0.6611 0.3175
Sc 0.8412 0.1611 0.6825
Sc 0.3659 0.8505 0.7318
Ge 0.2060 0.1503 0.4120
Ge 0.4629 0.2026 0.9258
Ge 0.5371 0.7026 0.0742
Ge 0.7940 0.6503 0.5880

Properties
**ΔH_f (0 K)**: -612 meV per atom
**Space-group type**: Cmc2_1 (36)
**Magnetization**: 0.1 μB/f.u.
**Total energy**: -6.3724 eV per atom

***

No. 3
Material: RbBiS
Method: DFT, PBE
State: optimized geometry

Unit cell a=5.7761 b=4.7672 c=4.7672 alpha=120.00 beta=90.00 gamma=90.00
Sites, in units of the cell vectors:
S 0.0990 0.0000 0.0000
Rb 0.7028 0.6667 0.3333
Bi 0.1982 0.3333 0.6667

Properties
**Formation energy from raw total energies**: -117 kJ/mol of formula units
**Energy relative to the lowest polymorph listed for this composition**: 0.000 eV/atom
**Space-group type**: P3m1 (156)
**Magnetization**: 0.0 μB/f.u.
**Total energy**: -3.3967 eV per atom

***

No. 4
Material: CsGaPd2Cl
Method: DFT, PBE
State: optimized geometry

Unit cell a=4.7365 b=8.4410 c=4.7365 alpha=90.00 beta=90.00 gamma=90.00
Sites, in units of the cell vectors:
Pd 0.5000 0.0000 0.0000
Pd 0.0000 0.0000 0.5000
Cl 0.5000 0.5000 0.5000
Ga 0.0000 0.0000 0.0000
Cs 0.0000 0.5000 0.0000

Properties
**Formation energy from raw total energies**: -124 kJ/mol of formula units
**Space-group type**: P4/mmm (123)
**Magnetization**: 0.0 μB/f.u.
**Total energy**: -3.4798 eV per atom

***

No. 5
Material: Y2VRu
Method: DFT, PBE
State: optimized geometry

Unit cell a=4.0836 b=4.0836 c=20.0470 alpha=90.00 beta=90.00 gamma=120.00
Sites, in units of the cell vectors:
Ru 0.0000 0.0000 0.6132
Ru 0.6667 0.3333 0.9465
Ru 0.3333 0.6667 0.2799
Y 0.0000 0.0000 0.8332
Y 0.6667 0.3333 0.3633
Y 0.6667 0.3333 0.1665
Y 0.0000 0.0000 0.0300
Y 0.3333 0.6667 0.6967
Y 0.3333 0.6667 0.4999
V 0.3333 0.6667 0.9219
V 0.0000 0.0000 0.2552
V 0.6667 0.3333 0.5885

Properties
**ΔH_f (0 K)**: -66 meV per atom
**Energy relative to the lowest polymorph listed for this composition**: 0.044 eV/atom
**Space-group type**: R3m (160)
**Magnetization**: 0.0 μB/f.u.
**Total energy**: -7.8971 eV per atom

***

No. 6
Material: Li4Pd2Pb
Method: DFT, PBE
State: optimized geometry

Unit cell a=4.8137 b=4.8137 c=7.4162 alpha=71.06 beta=71.06 gamma=90.00
Sites, in units of the cell vectors:
Li 0.0000 0.5000 0.0000
Li 0.7907 0.7907 0.4186
Li 0.2093 0.2093 0.5814
Li 0.5000 0.0000 0.0000
Pd 0.3990 0.3990 0.2021
Pd 0.6010 0.6010 0.7979
Pb 0.0000 0.0000 0.0000

Properties
**ΔH_f (0 K)**: 171 meV per atom
**Energy relative to the lowest polymorph listed for this composition**: 0.536 eV/atom
**Space-group type**: I4/mmm (139)
**Magnetization**: 0.0 μB/f.u.
**Total energy**: -2.9356 eV per atom

***

No. 7
Material: Ce4PuPa
Method: DFT, PBE
State: optimized geometry

Unit cell a=3.1498 b=5.4195 c=9.3729 alpha=84.87 beta=80.33 gamma=73.11
Site moments in Bohr magnetons follow the coordinates.
Sites, in units of the cell vectors:
Pu 0.5000 0.5000 0.5000  5.17
Ce 0.1651 0.0067 0.6631  -0.15
Ce 0.8349 0.9933 0.3369  -0.15
Ce 0.6601 0.5173 0.1625  -0.09
Ce 0.3399 0.4827 0.8375  -0.09
Pa 0.0000 0.0000 0.0000  -0.04

Properties
**ΔH_f (0 K)**: 159 meV per atom
**Space-group type**: C2/m (12)
**Magnetization**: 4.7 μB/f.u.
**Total energy**: -7.7679 eV per atom

***

No. 8
Material: B2Pd12Pb5
Method: DFT, PBE
State: optimized geometry

Unit cell a=5.7799 b=9.2174 c=7.4222 alpha=109.49 beta=90.00 gamma=108.27
Sites, in units of the cell vectors:
Pd 0.5409 0.0818 0.2316
Pd 0.8903 0.2849 0.5683
Pd 0.9397 0.8795 0.8007
Pd 0.6413 0.7867 0.0806
Pd 0.3946 0.2849 0.5683
Pd 0.1097 0.7151 0.4317
Pd 0.8546 0.2133 0.9194
Pd 0.4591 0.9182 0.7684
Pd 0.3587 0.2133 0.9194
Pd 0.6054 0.7151 0.4317
Pd 0.0603 0.1205 0.1993
Pd 0.1454 0.7867 0.0806
Pb 0.2902 0.5804 0.6742
Pb 0.0000 0.0000 0.5000
Pb 0.2492 0.4984 0.1223
Pb 0.7508 0.5016 0.8777
Pb 0.7098 0.4196 0.3258
B 0.7357 0.0000 0.0000
B 0.2643 0.0000 0.0000

Properties
**ΔH_f (0 K)**: -148 meV per atom
**Space-group type**: C2/m (12)
**Magnetization**: 0.0 μB/f.u.
**Total energy**: -5.1068 eV per atom

***

No. 9
Material: K2Al
Method: DFT, PBE
State: optimized geometry

Unit cell a=8.6400 b=8.6400 c=8.6400 alpha=90.00 beta=90.00 gamma=90.00
Sites, in units of the cell vectors:
K 0.1555 0.6555 0.1555
K 0.3445 0.1555 0.1555
K 0.8445 0.3445 0.8445
K 0.6555 0.8445 0.8445
K 0.1555 0.8445 0.6555
K 0.8445 0.1555 0.3445
K 0.6555 0.6555 0.3445
K 0.3445 0.3445 0.6555
Al 0.5000 0.5000 0.0000
Al 0.0000 0.0000 0.0000
Al 0.5000 0.0000 0.5000
Al 0.0000 0.5000 0.5000

Properties
**ΔH_f (0 K)**: 494 meV per atom
**Energy relative to the lowest polymorph listed for this composition**: 0.355 eV/atom
**Space-group type**: Pa-3 (205)
**Magnetization**: 0.0 μB/f.u.
**Total energy**: -1.4855 eV per atom

***

No. 10
Material: AcHo2F
Method: DFT, PBE
State: optimized geometry

Unit cell a=3.7042 b=3.7042 c=9.9167 alpha=79.24 beta=79.24 gamma=60.00
Sites, in units of the cell vectors:
Ac 0.0000 0.0000 0.0000
F 0.5000 0.5000 0.5000
Ho 0.1215 0.1215 0.6356
Ho 0.8785 0.8785 0.3644

Properties
**Formation energy from raw total energies**: -341 kJ/mol of formula units
**Space-group type**: R-3m (166)
**Magnetization**: 0.0 μB/f.u.
**Total energy**: -4.6686 eV per atom

***

No. 11
Material: Ni7Sn2Sb2Au
Method: DFT, PBE
State: optimized geometry

Unit cell a=3.6904 b=3.6904 c=14.7852 alpha=85.79 beta=85.79 gamma=90.58
Sites, in units of the cell vectors:
Sn 0.4263 0.4263 0.2494
Sn 0.5737 0.5737 0.7506
Ni 0.5375 0.0372 0.8726
Ni 0.9628 0.4625 0.1274
Ni 0.3610 0.3610 0.4252
Ni 0.5000 0.5000 0.0000
Ni 0.0372 0.5375 0.8726
Ni 0.6390 0.6390 0.5748
Ni 0.4625 0.9628 0.1274
Sb 0.1392 0.1392 0.5908
Sb 0.8608 0.8608 0.4092
Au 0.0000 0.0000 0.0000

Properties
**Formation energy from raw total energies**: 20 kJ/mol of formula units
**Space-group type**: C2/m (12)
**Magnetization**: 0.0 μB/f.u.
**Total energy**: -4.9822 eV per atom

***

No. 12
Material: Tl2InSnCl5
Method: DFT, PBE
State: optimized geometry

Unit cell a=4.3064 b=9.3692 c=16.5842 alpha=90.00 beta=90.00 gamma=103.29
Sites, in units of the cell vectors:
In 0.4462 0.8924 0.4427
In 0.5538 0.1076 0.9427
Cl 0.7430 0.4860 0.9196
Cl 0.5341 0.0682 0.2708
Cl 0.2353 0.4706 0.6521
Cl 0.2570 0.5140 0.4196
Cl 0.0949 0.1897 0.0632
Cl 0.4082 0.8163 0.0235
Cl 0.4659 0.9318 0.7708
Cl 0.5918 0.1837 0.5235
Cl 0.7647 0.5294 0.1521
Cl 0.9051 0.8103 0.5632
Tl 0.9472 0.8943 0.1646
Tl 0.0528 0.1057 0.6646
Tl 0.1554 0.3109 0.2553
Tl 0.8446 0.6891 0.7553
Sn 0.2586 0.5171 0.0321
Sn 0.7414 0.4829 0.5321

Properties
**Formation energy from raw total energies**: -826 kJ/mol of formula units
**Space-group type**: Cmc2_1 (36)
**Magnetization**: 0.0 μB/f.u.
**Total energy**: -3.2521 eV per atom

***

No. 13
Material: BaRe2Hg
Method: DFT, PBE
State: optimized geometry

Unit cell a=4.3893 b=6.8982 c=6.9015 alpha=142.90 beta=108.59 gamma=89.94
Sites, in units of the cell vectors:
Hg 0.7100 0.2901 0.4196
Re 0.9774 0.0227 0.9548
Re 0.3054 0.6947 0.6107
Ba 0.5071 0.4926 0.0149

Properties
**ΔH_f (0 K)**: 427 meV per atom
**Space-group type**: Cm (8)
**Magnetization**: 0.0 μB/f.u.
**Total energy**: -6.3533 eV per atom

***

No. 14
Material: Dy2PaP3Rh12
Method: DFT, PBE
State: optimized geometry

Unit cell a=6.7192 b=6.7192 c=6.7192 alpha=82.77 beta=82.77 gamma=82.77
Sites, in units of the cell vectors:
Rh 0.6344 0.6344 0.0881
Rh 0.6653 0.1784 0.1784
Rh 0.8216 0.3347 0.8216
Rh 0.1784 0.6653 0.1784
Rh 0.1784 0.1784 0.6653
Rh 0.3656 0.9119 0.3656
Rh 0.8216 0.8216 0.3347
Rh 0.9119 0.3656 0.3656
Rh 0.3347 0.8216 0.8216
Rh 0.0881 0.6344 0.6344
Rh 0.6344 0.0881 0.6344
Rh 0.3656 0.3656 0.9119
Dy 0.3763 0.3763 0.3763
Dy 0.6237 0.6237 0.6237
P 0.5000 0.0000 0.0000
P 0.0000 0.0000 0.5000
P 0.0000 0.5000 0.0000
Pa 0.0000 0.0000 0.0000

Properties
**ΔH_f (0 K)**: -467 meV per atom
**Space-group type**: R-3m (166)
**Magnetization**: 0.0 μB/f.u.
**Total energy**: -7.3081 eV per atom

***

No. 15
Material: Ni5Pb3I12
Method: DFT, PBE
State: optimized geometry

Unit cell a=15.0150 b=15.0150 c=15.0150 alpha=109.47 beta=109.47 gamma=109.47
Site moments in Bohr magnetons follow the coordinates.
Sites, in units of the cell vectors:
Pb 0.1250 0.8750 0.7500  -0.01
Pb 0.7500 0.3750 0.1250  -0.01
Pb 0.8750 0.7500 0.1250  -0.01
Pb 0.6250 0.3750 0.7500  -0.01
Pb 0.8750 0.1250 0.2500  -0.01
Pb 0.6250 0.2500 0.3750  -0.01
Pb 0.3750 0.6250 0.2500  -0.01
Pb 0.1250 0.2500 0.8750  -0.01
Pb 0.3750 0.7500 0.6250  -0.01
Pb 0.7500 0.8750 0.6250  -0.01
Pb 0.2500 0.1250 0.3750  -0.01
Pb 0.2500 0.6250 0.8750  -0.01
I 0.8193 0.9060 0.0207  0.08
I 0.4060 0.3853 0.5867  0.08
I 0.8853 0.2986 0.4793  0.08
I 0.3853 0.4060 0.0867  0.08
I 0.9060 0.8193 0.5207  0.08
I 0.1147 0.7014 0.5207  0.08
I 0.5940 0.6147 0.4133  0.08
I 0.7014 0.1147 0.0207  0.08
I 0.3193 0.5207 0.4060  0.08
I 0.6147 0.0207 0.2014  0.08
I 0.7986 0.4793 0.3853  0.08
I 0.6807 0.2014 0.5867  0.08
I 0.0940 0.9133 0.1147  0.08
I 0.9133 0.8193 0.7986  0.08
I 0.4793 0.7986 0.8853  0.08
I 0.9793 0.5940 0.1807  0.08
I 0.8193 0.9133 0.2986  0.08
I 0.0867 0.1807 0.2014  0.08
I 0.7014 0.5867 0.1807  0.08
I 0.0940 0.1807 0.4793  0.08
I 0.5207 0.2014 0.1147  0.08
I 0.6147 0.5940 0.9133  0.08
I 0.8853 0.5867 0.9060  0.08
I 0.4133 0.2986 0.3193  0.08
I 0.4133 0.1147 0.5940  0.08
I 0.4060 0.0207 0.3193  0.08
I 0.2986 0.8853 0.9793  0.08
I 0.5940 0.9793 0.6807  0.08
I 0.2014 0.5207 0.6147  0.08
I 0.6807 0.4793 0.5940  0.08
I 0.3853 0.9793 0.7986  0.08
I 0.5867 0.8853 0.4060  0.08
I 0.0207 0.4060 0.8193  0.08
I 0.5867 0.7014 0.6807  0.08
I 0.4793 0.6807 0.0940  0.08
I 0.3193 0.7986 0.4133  0.08
I 0.0207 0.6147 0.7014  0.08
I 0.2014 0.6807 0.0867  0.08
I 0.7986 0.3193 0.9133  0.08
I 0.5207 0.3193 0.9060  0.08
I 0.1147 0.4133 0.0940  0.08
I 0.0867 0.9060 0.3853  0.08
I 0.9060 0.0867 0.8853  0.08
I 0.1807 0.0867 0.7014  0.08
I 0.9133 0.0940 0.6147  0.08
I 0.1807 0.0940 0.9793  0.08
I 0.9793 0.3853 0.2986  0.08
I 0.2986 0.4133 0.8193  0.08
Ni 0.7500 0.1250 0.8750  0.86
Ni 0.2500 0.8750 0.1250  0.86
Ni 0.3750 0.2500 0.1250  0.86
Ni 0.0000 0.5000 0.5000  1.02
Ni 0.0000 0.0000 0.0000  1.02
Ni 0.5000 0.0000 0.5000  1.02
Ni 0.1250 0.7500 0.3750  0.86
Ni 0.7500 0.6250 0.3750  0.86
Ni 0.1250 0.3750 0.2500  0.86
Ni 0.3750 0.1250 0.7500  0.86
Ni 0.2500 0.3750 0.6250  0.86
Ni 0.5000 0.5000 0.0000  1.02
Ni 0.0000 0.0000 0.5000  1.02
Ni 0.8750 0.6250 0.7500  0.86
Ni 0.5000 0.5000 0.5000  1.02
Ni 0.0000 0.5000 0.0000  1.02
Ni 0.6250 0.7500 0.8750  0.86
Ni 0.6250 0.8750 0.2500  0.86
Ni 0.8750 0.2500 0.6250  0.86
Ni 0.5000 0.0000 0.0000  1.02

Properties
**Formation energy from raw total energies**: -311 kJ/mol of formula units
**Space-group type**: Ia-3d (230)
**Magnetization**: 6.1 μB/f.u.
**Total energy**: -3.0926 eV per atom

***

No. 16
Material: LaPm4Te7
Method: DFT, PBE
State: optimized geometry

Unit cell a=4.3560 b=7.7000 c=13.5101 alpha=103.79 beta=90.00 gamma=106.43
Sites, in units of the cell vectors:
Pm 0.1152 0.2305 0.4203
Pm 0.2989 0.5978 0.1873
Pm 0.0004 0.0008 0.0015
Pm 0.7012 0.4025 0.8145
Te 0.9604 0.9208 0.2161
Te 0.2541 0.5081 0.6518
Te 0.6612 0.3223 0.0483
Te 0.3398 0.6796 0.9527
Te 0.7406 0.4812 0.3459
Te 0.0407 0.0815 0.7870
Te 0.5023 0.0046 0.4974
La 0.8852 0.7704 0.5773

Properties
**Formation energy from raw total energies**: -1679 kJ/mol of formula units
**Space-group type**: Cm (8)
**Magnetization**: 0.0 μB/f.u.
**Total energy**: -5.2773 eV per atom

***

No. 17
Material: IrI3Br
Method: DFT, PBE
State: optimized geometry

Unit cell a=5.8883 b=5.8883 c=5.8883 alpha=90.00 beta=90.00 gamma=90.00
Site moments in Bohr magnetons follow the coordinates.
Sites, in units of the cell vectors:
Ir 0.5000 0.5000 0.5000  2.77
I 0.0000 0.5000 0.0000  0.11
I 0.5000 0.0000 0.0000  0.07
I 0.0000 0.0000 0.5000  0.09
Br 0.0000 0.0000 0.0000  0.00

Properties
**Formation energy from raw total energies**: 737 kJ/mol of formula units
**Energy relative to the lowest polymorph listed for this composition**: 1.595 eV/atom
**Space-group type**: Pm-3m (221)
**Magnetization**: 3.6 μB/f.u.
**Total energy**: -1.5089 eV per atom

***

No. 18
Material: HgOs2N
Method: DFT, PBE
State: optimized geometry

Unit cell a=6.4413 b=6.4413 c=5.4372 alpha=53.68 beta=53.68 gamma=90.00
Sites, in units of the cell vectors:
Hg 0.7500 0.2500 0.5000
Hg 0.0000 0.0000 0.0000
N 0.5000 0.5000 0.0000
N 0.2500 0.7500 0.5000
Os 0.3750 0.5005 0.7500
Os 0.4995 0.1250 0.2500
Os 0.8750 0.7495 0.7500
Os 0.2505 0.6250 0.2500

Properties
**Formation energy from raw total energies**: 345 kJ/mol of formula units
**Energy relative to the lowest polymorph listed for this composition**: 0.000 eV/atom
**Space-group type**: I-42d (122)
**Magnetization**: 0.0 μB/f.u.
**Total energy**: -6.8765 eV per atom

***

No. 19
Material: Nd5YSi4
Method: DFT, PBE
State: optimized geometry

Unit cell a=5.0634 b=6.9561 c=10.6986 alpha=129.79 beta=103.69 gamma=90.00
Sites, in units of the cell vectors:
Y 0.5000 0.0000 0.0000
Nd 0.8339 0.6760 0.6678
Nd 0.1661 0.3240 0.3322
Nd 0.8360 0.1701 0.6720
Nd 0.5000 0.5000 0.0000
Nd 0.1640 0.8299 0.3280
Si 0.6752 0.1009 0.3504
Si 0.3248 0.8991 0.6496
Si 0.9916 0.7438 0.9832
Si 0.0084 0.2562 0.0168

Properties
**Formation energy from raw total energies**: -475 kJ/mol of formula units
**Space-group type**: C2/m (12)
**Magnetization**: 0.0 μB/f.u.
**Total energy**: -5.6918 eV per atom